Entry 1:
Below is Gd3Er after structural relaxation, with properties calculated at the PBE level.

```
Gd3Er
1.0
5.881 0.000 0.000
0.000 5.881 0.000
0.000 0.000 3.730
Gd Er
3 1
Direct
0.000 0.000 0.000
0.000 0.500 0.500
0.500 0.000 0.500
0.500 0.500 0.000
```

- Crystal system: tetragonal
- Relative energy among the computed polymorphs: 0.0646 eV/atom
- Energy of formation from the pure elements: 10 kJ/mol of atoms
- Symmetry: No. 123

Entry 2:
Below is Li2Dy2F7 after structural relaxation, with properties calculated at the PBE level.

```
Li2Dy2F7
1.0
5.168 0.000 0.000
0.662 5.256 0.000
0.075 1.411 5.272
Li Dy F
2 2 7
Direct
0.215 0.484 0.191
0.785 0.516 0.809
0.249 0.061 0.737
0.751 0.939 0.263
0.000 0.500 0.500
0.035 0.233 0.039
0.440 0.762 0.095
0.474 0.239 0.392
0.526 0.761 0.608
0.560 0.238 0.905
0.965 0.767 0.961
```

- Crystal system: triclinic
- Formation energy from raw total energies: -38.109 eV/f.u.
- Symmetry: No. 2

Entry 3:
Below is Fe4AgBr after structural relaxation, with properties calculated at the PBE level.

```
Fe4AgBr
1.0
0.000 3.583 3.583
3.583 0.000 3.583
3.583 3.583 0.000
Fe Ag Br
4 1 1
Direct
0.123 0.123 0.123
0.123 0.123 0.632
0.123 0.632 0.123
0.632 0.123 0.123
0.750 0.750 0.750
0.500 0.500 0.500
```

- Crystal system: cubic
- Formation energy from raw total energies: 3.708 eV/f.u.
- Symmetry: No. 216

Entry 4:
Below is CsMnSe2Br after structural relaxation, with properties calculated at the PBE level.

```
CsMnSe2Br
1.0
5.717 0.000 0.000
0.000 5.717 0.000
0.000 0.000 6.511
Cs Mn Se Br
1 1 2 1
Direct
0.000 0.000 0.000
0.500 0.500 0.500
0.000 0.500 0.000
0.500 0.000 0.000
0.000 0.000 0.500
```

- Crystal system: tetragonal
- Relative energy among the computed polymorphs: 1.5357 eV/atom
- Formation energy from raw total energies: 4.462 eV/f.u.
- Symmetry: No. 123

| no. | magnetization (Bohr magnetons per cell) |
| --- | --- |
| 1 | 8.04 |
| 2 | 1.00 |
| 3 | 11.24 |
| 4 | 5.68 |